Entry w
Entry from the Alexandria database: a relaxed Pa2OsRu crystal (PBE).

Lattice parameters (Å, degrees): 6.868 6.868 6.868 90.00 90.00 90.00
Space group Fm-3m (No. 225)
Symmetry-distinct sites (fractional):
Pa 0.250 0.250 0.250
Os 0.000 0.000 0.000
Ru 0.000 0.000 0.500

Computed properties:
Magnetic moment, μB/cell: 0.00
D(E_F), states/eV/cell: 25.3



Entry x
Entry from the Alexandria database: a relaxed Pa2OsRu crystal (PBE).

Lattice parameters (Å, degrees): 4.776 6.090 6.094 64.44 84.44 84.50
Space group P-1 (No. 2)
Symmetry-distinct sites (fractional):
Pa 0.222 0.389 0.395
Pa 0.222 0.896 0.888
Os 0.281 0.402 0.902
Ru 0.288 0.902 0.403

Computed properties:
Magnetic moment, μB/cell: 0.00
D(E_F), states/eV/cell: 7.0



Entry y
Entry from the Alexandria database: a relaxed Pa2OsRu crystal (PBE).

Lattice parameters (Å, degrees): 3.9540 3.9540 19.3366 90.00 90.00 120.00
Space group R-3m (No. 166, hexagonal axes)
Symmetry-distinct sites (fractional):
Pa 0.0000 0.0000 0.2501
Os 0.0000 0.0000 0.0000
Ru 0.0000 0.0000 0.5000

Computed properties:
Magnetic moment, μB/cell: 0.00
D(E_F), states/eV/cell: 9.3



Least stable of them? entry w.